Entry 1:
ZrAlIr2 | Alexandria via LeMat-Bulk | meta-GGA SCAN | PBEsol geometry; magnetization = 0.000 μB per cell; formation energy from the elements = -880 meV/atom; space-group type = Cm, No. 8; electronic total energy = -46.043 eV per atom
1.0
-1.0420 0.7187 -2.8205
-4.0157 -1.6003 1.0758
0.4997 4.2695 2.5976
Ir Zr Al
2 1 1
direct
0.9906 0.9346 0.9811
0.7526 0.3047 0.5052
0.4970 0.4467 0.9939
0.2599 0.8140 0.5197

---

Entry 2:
ZrPW2 | Alexandria via LeMat-Bulk | meta-GGA SCAN | PBEsol geometry; magnetization = 0.000 μB per cell; formation energy from the elements = 33 meV/atom; space-group type = R3m, No. 160; electronic total energy = -45.085 eV per atom
1.0
3.2208 0.0000 0.0000
1.6104 2.7893 0.0000
1.6104 0.9298 7.5115
W P Zr
2 1 1
direct
0.7448 0.7448 0.7657
0.9915 0.9915 0.0256
0.2558 0.2558 0.2326
0.5080 0.5080 0.4760

---

Entry 3:
Zr3Os2 | Alexandria via LeMat-Bulk | meta-GGA SCAN | PBEsol geometry; magnetization = 0.000 μB per cell; formation energy from the elements = -550 meV/atom; space-group type = P-3m1, No. 164; electronic total energy = -47.721 eV per atom
1.0
-3.5934 -2.6870 -0.4954
1.5628 0.9407 4.1293
-3.3647 4.4519 0.2593
Zr Os
3 2
direct
0.6667 0.3333 0.6574
0.0000 0.0000 0.0000
0.3333 0.6667 0.3426
0.6667 0.3333 0.1663
0.3333 0.6667 0.8337

---

Entry 4:
ClF | Alexandria via LeMat-Bulk | meta-GGA SCAN | PBEsol geometry; magnetization = 0.000 μB per cell; space-group type = P2_1/c, No. 14; ΔE_f (raw) = -0.34 eV/atom; electronic total energy = -6.101 eV per atom
1.0
-3.0648 -0.2379 1.7010
0.3981 -6.6392 -0.2112
3.0698 1.7687 5.7782
F Cl
4 4
direct
0.2065 0.6410 0.6568
0.2935 0.6410 0.1568
0.7065 0.3590 0.8432
0.7935 0.3590 0.3432
0.5136 0.1459 0.2878
0.4864 0.8541 0.7122
0.9864 0.1459 0.7878
0.0136 0.8541 0.2122

---

Entry 5:
BeHgSe | Alexandria via LeMat-Bulk | meta-GGA SCAN | PBEsol geometry; magnetization = 0.000 μB per cell; space-group type = F-43m, No. 216; ΔE_f (raw) = 0.63 eV/atom; electronic total energy = -30.241 eV per atom
1.0
-2.6740 -1.9454 3.0844
1.5163 -3.5086 2.4164
0.8903 0.5043 4.4047
Se Hg Be
1 1 1
direct
0.2500 0.2500 0.2500
0.5000 0.5000 0.5000
0.0000 0.0000 0.0000

---

Entry 6:
MnIn2Pt | Alexandria via LeMat-Bulk | meta-GGA SCAN | PBEsol geometry; magnetization = 4.083 μB per cell; formation energy from the elements = -205 meV/atom; space-group type = C2/m, No. 12; electronic total energy = -39.010 eV per atom
1.0
-0.5426 2.3170 2.0005
-3.6841 -0.4167 -2.9320
-1.2854 -3.4682 3.6682
In Pt Mn
2 1 1
direct
0.2476 0.4953 0.2473
0.7524 0.5047 0.7527
0.5000 0.0000 0.0000
0.0000 0.0000 0.5000

---

Entry 7:
YOsC2 | Alexandria via LeMat-Bulk | meta-GGA SCAN | PBEsol geometry; magnetization = 0.000 μB per cell; formation energy from the elements = 809 meV/atom; space-group type = Fm-3m, No. 225; electronic total energy = -29.171 eV per atom
1.0
3.9990 0.0000 0.0000
1.9995 3.4632 0.0000
1.9995 1.1544 3.2652
Os C Y
1 2 1
direct
0.5000 0.5000 0.5000
0.7500 0.7500 0.7500
0.2500 0.2500 0.2500
0.0000 0.0000 0.0000

---

Entry 8:
Zn3SbC | Alexandria via LeMat-Bulk | meta-GGA SCAN | PBEsol geometry; magnetization = 0.000 μB per cell; space-group type = Pm-3m, No. 221; ΔE_f (raw) = 0.64 eV/atom; electronic total energy = -16.942 eV per atom
1.0
4.2523 0.0000 0.0000
0.0000 4.2523 0.0000
0.0000 0.0000 4.2523
Sb Zn C
1 3 1
direct
0.5000 0.5000 0.5000
0.5000 0.0000 0.0000
0.0000 0.5000 0.0000
0.0000 0.0000 0.5000
0.0000 0.0000 0.0000